Compound: TbScPa2
Source: Alexandria
Functional: PBE-GGA
Structure: relaxed

Lattice parameters (Å, degrees): 11.378 11.378 11.378 16.51 16.51 16.51
Sites, in units of the cell vectors:
Tb 0.000 0.000 0.000
Sc 0.167 0.167 0.167
Pa 0.581 0.581 0.581
Pa 0.753 0.753 0.753

Output
SG: No. 160
E, hartree per atom: -0.270
Formation energy, meV per atom: 145.8
Size of the total moment, μB/f.u.: 0.0